Material: SrAsAu2
Method: DFT, PBE
State: optimized geometry

Geometry as POSCAR:
```
SrAsAu2
1.0
-4.415 -1.122 0.485
0.506 -3.282 -2.982
1.284 -3.484 3.635
As Au Sr
1 2 1
Cartesian
-0.770 -6.240 0.196
-1.832 -1.685 1.060
1.261 -3.437 3.531
0.897 -3.394 0.313
```

crystal system: monoclinic
DFT total energy: -3.750 eV per atom
space-group type: Pm (6)
formation energy: -529 meV/atom
spin magnetization: 0.000 μB per atom

=====

Material: TaHgP2
Method: DFT, PBE
State: optimized geometry

Geometry as POSCAR:
```
TaHgP2
1.0
-2.029 -8.030 -2.334
-2.071 -8.300 0.935
-4.711 -7.171 -0.653
Hg P Ta
1 2 1
Cartesian
-6.609 -17.626 -1.539
-4.551 -12.138 -1.060
-8.666 -23.113 -2.019
-2.203 -5.875 -0.513
```

crystal system: trigonal
DFT total energy: -5.873 eV per atom
space-group type: R-3m (166)
formation energy: -129 meV/atom
spin magnetization: 0.000 μB per atom

=====

Material: Ba3Cd5Pd6
Method: DFT, PBE
State: optimized geometry

Geometry as POSCAR:
```
Ba3Cd5Pd6
1.0
4.556 0.000 1.246
1.671 8.373 2.842
-0.012 0.246 8.995
Pd Cd Ba
6 5 3
Cartesian
3.453 5.976 5.280
4.691 3.427 9.706
1.525 5.192 3.377
5.447 7.078 6.942
0.769 1.541 6.142
2.763 2.644 7.803
4.744 8.394 9.513
0.830 4.310 5.919
1.472 0.225 3.571
2.029 2.915 1.534
4.186 5.704 11.549
3.633 2.746 4.620
0.000 0.000 0.000
2.582 5.873 8.463
```

crystal system: orthorhombic
DFT total energy: -3.436 eV per atom
space-group type: Immm (71)
formation energy: -472 meV/atom
spin magnetization: 0.000 μB per atom

=====

Material: B2C
Method: DFT, PBE
State: optimized geometry

Geometry as POSCAR:
```
B2C
1.0
-1.573 2.087 0.824
1.456 -1.425 1.832
9.068 7.407 -1.446
C B
4 8
Cartesian
9.307 6.983 0.084
-0.355 1.086 1.127
8.148 6.037 0.268
0.803 2.032 0.942
5.683 6.018 0.164
3.268 2.051 1.046
1.817 1.484 -0.290
4.462 5.021 0.359
4.489 3.048 0.852
7.251 5.923 -1.156
5.794 4.733 -0.924
3.274 2.674 -0.522
```

crystal system: trigonal
DFT total energy: -6.928 eV per atom
space-group type: P-3m1 (164)
formation energy: 598 meV/atom
spin magnetization: 0.000 μB per atom

=====

Material: Cd2FeTc
Method: DFT, PBE
State: optimized geometry

Geometry as POSCAR:
```
Cd2FeTc
1.0
4.350 0.000 0.000
0.000 2.724 0.320
0.000 2.135 5.906
Cd Tc Fe
2 1 1
Cartesian
0.000 2.438 3.103
0.000 2.717 0.330
2.175 3.645 4.669
2.175 1.215 1.556
```

crystal system: monoclinic
DFT total energy: -4.698 eV per atom
space-group type: P2/m (10)
formation energy: 467 meV/atom
spin magnetization: 0.872 μB per atom

=====

Material: Ta2CoIr
Method: DFT, PBE
State: optimized geometry

Geometry as POSCAR:
```
Ta2CoIr
1.0
4.410 0.000 0.000
2.205 3.820 0.000
2.205 1.273 3.601
Ta Ir Co
2 1 1
Cartesian
2.205 1.273 0.900
0.000 0.000 0.000
6.616 3.820 2.701
4.410 2.546 1.801
```

crystal system: cubic
DFT total energy: -10.071 eV per atom
space-group type: F-43m (216)
formation energy: -153 meV/atom
spin magnetization: 0.000 μB per atom

=====

Material: SmAs2Au
Method: DFT, PBE
State: optimized geometry

Geometry as POSCAR:
```
SmAs2Au
1.0
-3.805 1.905 0.669
-3.608 -2.354 0.050
-1.883 -0.932 5.811
Sm Au As
1 1 2
Cartesian
-4.648 -0.690 3.265
0.000 0.000 0.000
-6.955 -1.059 5.065
-2.342 -0.322 1.465
```

crystal system: trigonal
DFT total energy: -4.783 eV per atom
space-group type: R-3m (166)
formation energy: -460 meV/atom
spin magnetization: 0.000 μB per atom

=====

Material: TiSb2PbO8
Method: DFT, PBE
State: optimized geometry

Geometry as POSCAR:
```
TiSb2PbO8
1.0
4.931 0.131 -0.004
0.193 4.930 -0.006
0.005 0.007 6.544
O Sb Pb Ti
8 2 1 1
Cartesian
3.963 1.112 1.353
3.966 1.117 5.183
1.695 1.676 3.269
3.549 3.504 -0.006
1.162 3.951 1.352
1.580 1.565 6.542
1.165 3.956 5.182
3.433 3.392 3.266
2.565 2.536 4.963
2.563 2.532 1.572
0.002 0.004 3.272
0.000 0.000 0.000
```

crystal system: orthorhombic
DFT total energy: -6.594 eV per atom
space-group type: Cmmm (65)
spin magnetization: 0.000 μB per atom
energy relative to the elements, uncorrected: -1634 meV per atom

=====

Material: TmSc2Tl
Method: DFT, PBE
State: optimized geometry

Geometry as POSCAR:
```
TmSc2Tl
1.0
5.535 0.087 0.000
-0.748 5.485 0.000
0.000 0.000 6.551
Sc Tm Tl
4 2 2
Cartesian
0.987 1.148 0.000
3.800 4.424 3.275
0.987 1.148 3.275
3.800 4.424 0.000
3.688 1.674 1.638
1.099 3.898 4.913
1.049 3.941 1.638
3.738 1.631 4.913
```

crystal system: orthorhombic
DFT total energy: -4.949 eV per atom
space-group type: Cmcm (63)
formation energy: -74 meV/atom
spin magnetization: 0.412 μB per atom

=====

Material: Pa2ReNiN6
Method: DFT, PBE
State: optimized geometry

Geometry as POSCAR:
```
Pa2ReNiN6
1.0
4.616 0.000 0.000
0.000 5.266 0.000
0.000 0.000 5.266
N Pa Re Ni
6 2 1 1
Cartesian
3.319 1.301 3.965
0.848 0.000 0.000
3.319 3.965 3.965
0.828 2.633 2.633
3.319 1.301 1.301
3.319 3.965 1.301
0.025 2.633 0.000
0.025 0.000 2.633
2.708 0.000 0.000
2.817 2.633 2.633
```

crystal system: tetragonal
DFT total energy: -9.235 eV per atom
space-group type: P4mm (99)
spin magnetization: 0.000 μB per atom
energy relative to the elements, uncorrected: -517 meV per atom

=====

Material: SmDyAgRh
Method: DFT, PBE
State: optimized geometry

Geometry as POSCAR:
```
SmDyAgRh
1.0
-1.056 0.581 4.892
-1.859 -3.860 2.652
2.850 -2.270 3.480
Ag Rh Sm Dy
1 1 1 1
Cartesian
-0.016 -1.387 2.756
-0.048 -4.161 8.268
-0.032 -2.774 5.512
0.000 0.000 0.000
```

crystal system: cubic
DFT total energy: -5.407 eV per atom
space-group type: F-43m (216)
formation energy: -526 meV/atom
spin magnetization: 0.000 μB per atom

=====

Material: Rb2NaTlSe
Method: DFT, PBE
State: optimized geometry

Geometry as POSCAR:
```
Rb2NaTlSe
1.0
6.644 0.000 0.000
0.000 5.787 0.000
0.000 0.000 6.644
Rb Na Se Tl
2 1 1 1
Cartesian
0.000 0.000 3.322
3.322 0.000 0.000
0.000 2.894 0.000
3.322 2.894 3.322
0.000 0.000 0.000
```

crystal system: tetragonal
DFT total energy: -1.753 eV per atom
space-group type: P4/mmm (123)
spin magnetization: 0.195 μB per atom
energy relative to the elements, uncorrected: 68 meV per atom

=====

Material: SmHfN
Method: DFT, PBE
State: optimized geometry

Geometry as POSCAR:
```
SmHfN
1.0
-4.099 1.732 0.360
-0.756 -0.893 -4.309
-1.945 -4.885 1.353
N Hf Sm
2 2 2
Cartesian
-1.350 -2.889 -1.478
-3.022 -1.577 0.857
-3.400 -2.023 -1.298
-0.972 -2.443 0.677
-2.322 -5.332 -0.801
-2.050 0.866 0.180
```

crystal system: tetragonal
DFT total energy: -8.704 eV per atom
space-group type: P4/mmm (123)
spin magnetization: 0.000 μB per atom
energy relative to the elements, uncorrected: -1038 meV per atom

=====

Material: FeAgIr2
Method: DFT, PBE
State: optimized geometry

Geometry as POSCAR:
```
FeAgIr2
1.0
2.744 0.000 0.000
0.000 2.744 0.000
0.000 0.000 7.886
Ag Ir Fe
1 2 1
Cartesian
0.000 0.000 4.008
1.372 1.372 1.822
0.000 0.000 7.851
1.372 1.372 6.035
```

crystal system: tetragonal
DFT total energy: -7.053 eV per atom
space-group type: P4mm (99)
formation energy: 206 meV/atom
spin magnetization: 0.719 μB per atom

=====

Material: SrAc2Mg2
Method: DFT, PBE
State: optimized geometry

Geometry as POSCAR:
```
SrAc2Mg2
1.0
0.121 -3.887 -1.015
2.935 -1.244 5.118
-13.733 -0.369 7.786
Ac Mg Sr
4 4 2
Cartesian
-11.661 -4.363 7.402
-4.134 -2.003 7.211
-6.543 -3.497 4.678
0.984 -1.137 4.487
-10.068 -3.009 10.370
-1.498 -3.510 5.333
-9.179 -1.990 6.556
-0.609 -2.491 1.520
-7.402 -4.511 8.476
-3.275 -0.989 3.414
```

crystal system: monoclinic
DFT total energy: -2.642 eV per atom
space-group type: P2_1/m (11)
formation energy: -25 meV/atom
spin magnetization: 0.000 μB per atom

=====

Material: Sr3In3Hg
Method: DFT, PBE
State: optimized geometry

Geometry as POSCAR:
```
Sr3In3Hg
1.0
-4.044 -1.618 2.235
1.088 -5.609 3.270
2.059 7.020 14.169
Sr In Hg
6 6 2
Cartesian
-0.571 1.711 10.929
-1.530 -4.401 4.769
-0.612 0.014 14.987
0.634 4.194 14.906
-0.284 -0.221 4.687
-0.326 -1.918 8.745
1.652 4.375 11.518
-2.549 -4.582 8.157
0.705 1.476 7.706
-1.602 -1.683 11.969
-3.302 -1.670 3.539
2.405 1.463 16.135
-2.158 0.954 7.510
1.261 -1.162 12.164
```

crystal system: monoclinic
DFT total energy: -2.372 eV per atom
space-group type: C2/m (12)
formation energy: -434 meV/atom
spin magnetization: 0.000 μB per atom

=====

Material: TlAs2BrF
Method: DFT, PBE
State: optimized geometry

Geometry as POSCAR:
```
TlAs2BrF
1.0
-0.055 -2.752 -4.715
5.378 0.782 -0.519
0.955 -4.736 2.753
As F Br Tl
2 1 1 1
Cartesian
2.689 0.391 -0.260
-0.028 -1.376 -2.357
3.139 -3.353 -1.240
0.477 -2.368 1.377
0.000 0.000 0.000
```

crystal system: tetragonal
DFT total energy: -2.389 eV per atom
space-group type: P4/mmm (123)
spin magnetization: 0.300 μB per atom
energy relative to the elements, uncorrected: 653 meV per atom

=====

Material: Li2SnPb
Method: DFT, PBE
State: optimized geometry

Geometry as POSCAR:
```
Li2SnPb
1.0
0.000 3.502 3.502
3.502 0.000 3.502
3.502 3.502 0.000
Li Sn Pb
2 1 1
Cartesian
5.253 5.253 5.253
1.751 1.751 1.751
0.000 0.000 0.000
3.502 3.502 3.502
```

crystal system: cubic
DFT total energy: -3.177 eV per atom
space-group type: Fm-3m (225)
formation energy: -292 meV/atom
spin magnetization: 0.000 μB per atom

=====

Material: HoErCdFe
Method: DFT, PBE
State: optimized geometry

Geometry as POSCAR:
```
HoErCdFe
1.0
-0.801 -4.711 1.559
3.894 -2.967 1.138
0.893 -1.250 4.786
Fe Er Cd Ho
1 1 1 1
Cartesian
2.989 -6.696 5.612
0.000 0.000 0.000
0.996 -2.232 1.871
1.993 -4.464 3.741
```

crystal system: cubic
DFT total energy: -4.646 eV per atom
space-group type: F-43m (216)
formation energy: -17 meV/atom
spin magnetization: 0.397 μB per atom

=====

Material: Ce6Sn2CO
Method: DFT, PBE
State: optimized geometry

Geometry as POSCAR:
```
Ce6Sn2CO
1.0
-3.572 -5.938 -0.685
2.528 -5.912 2.674
-3.046 -2.891 5.554
O Ce C Sn
1 6 1 2
Cartesian
-2.045 -7.370 3.771
-1.544 -9.612 2.879
0.244 -6.640 3.222
-2.546 -5.128 4.664
-1.281 -8.087 6.002
-4.334 -8.100 4.321
-2.809 -6.653 1.541
0.000 0.000 0.000
-3.068 -11.055 5.657
-1.023 -3.685 1.886
```

crystal system: cubic
DFT total energy: -6.770 eV per atom
space-group type: Fm-3m (225)
spin magnetization: 0.393 μB per atom
energy relative to the elements, uncorrected: -991 meV per atom